# PBE Al2Pt2Rh, relaxed
data_Al2Pt2Rh
_chemical_formula_sum 'Al4 Pt4 Rh2'
_symmetry_space_group_name_H-M 'P 1'
_symmetry_Int_Tables_number 1
_cell_length_a 7.229
_cell_length_b 7.229
_cell_length_c 2.856
_cell_angle_alpha 90.00
_cell_angle_beta 90.00
_cell_angle_gamma 90.00
loop_
_symmetry_equiv_pos_as_xyz
'x,y,z'
loop_
_atom_site_label
_atom_site_fract_x
_atom_site_fract_y
_atom_site_fract_z
Pt1 0.355 0.145 0.500
Pt2 0.145 0.645 0.500
Pt3 0.645 0.855 0.500
Pt4 0.855 0.355 0.500
Al1 0.846 0.654 0.000
Al2 0.154 0.346 0.000
Al3 0.346 0.846 0.000
Al4 0.654 0.154 0.000
Rh1 0.000 0.000 0.000
Rh2 0.500 0.500 0.000
# - polymorph energy (0 for the lowest one) (meV per atom) = 156
# - magnetization (μB/f.u.) = 0.0
# - total DFT energy (no corrections) (eV per cell) = -61.4
# - DFT formation energy (meV/atom) = -757